BC | PBE-GGA | optimized geometry

Its relative energy among the computed polymorphs is 344.2 meV per atom. The calculation puts the density of states at the Fermi level at 0.1827 states/eV/atom. The calculation puts the calculated formation energy at 0.495 eV/atom. As for the total energy: -7.456 eV per atom.

It has space group P2/m (No. 10), with a = 2.247 Å, b = 2.727 Å, c = 4.590 Å, α = 90.00°, β = 98.59° and γ = 90.00°. The asymmetric unit holds B at (0.204, 0.000, 0.338) and C at (0.113, 0.500, 0.153).